# 1
Entry from the Alexandria database: a geometry-optimized YTl2Se structure (PBEsol). Values from VASP.

Values from the calculation:
Relative energy among the computed polymorphs in meV/atom: 89.7
Calculated volume in Å³/f.u.: 97
Formation energy without anion corrections in eV/atom: -0.5384
Crystal system: tetragonal

```
&SYSTEM
  ibrav = 0, nat = 4, ntyp = 3
/
ATOMIC_SPECIES
Y 88.91 Y.upf
Tl 204.38 Tl.upf
Se 78.96 Se.upf
ATOMIC_POSITIONS crystal
Y 0.000 0.000 0.000
Tl 0.250 0.750 0.500
Tl 0.500 0.500 0.000
Se 0.750 0.250 0.500
CELL_PARAMETERS angstrom
-2.303 2.303 4.593
2.303 -2.303 4.593
2.303 2.303 -4.593
```



# 2
Entry from the Alexandria database: a geometry-optimized CdH12C2S2N6Cl4 structure (PBEsol). Values from VASP.

Values from the calculation:
Calculated volume in Å³/f.u.: 329
Crystal system: monoclinic
Electronic total energy in eV/atom: -5.152

```
&SYSTEM
  ibrav = 0, nat = 54, ntyp = 6
/
ATOMIC_SPECIES
Cd 112.41 Cd.upf
H 1.01 H.upf
C 12.01 C.upf
S 32.06 S.upf
N 14.01 N.upf
Cl 35.45 Cl.upf
ATOMIC_POSITIONS crystal
Cd 0.000 0.000 0.000
Cd 0.000 0.500 0.500
H 0.181 0.038 0.766
H 0.181 0.462 0.266
H 0.187 0.185 0.417
H 0.187 0.315 0.917
H 0.227 0.525 0.935
H 0.227 0.975 0.435
H 0.264 0.656 0.286
H 0.264 0.844 0.786
H 0.314 0.651 0.122
H 0.314 0.849 0.622
H 0.442 0.004 0.844
H 0.442 0.496 0.344
H 0.558 0.504 0.656
H 0.558 0.996 0.156
H 0.686 0.151 0.378
H 0.686 0.349 0.878
H 0.736 0.156 0.214
H 0.736 0.344 0.714
H 0.773 0.025 0.565
H 0.773 0.475 0.065
H 0.813 0.685 0.083
H 0.813 0.815 0.583
H 0.819 0.538 0.734
H 0.819 0.962 0.234
C 0.255 0.100 0.588
C 0.255 0.400 0.088
C 0.745 0.600 0.912
C 0.745 0.900 0.412
S 0.244 0.223 0.154
S 0.244 0.277 0.654
S 0.756 0.723 0.346
S 0.756 0.777 0.846
N 0.231 0.085 0.474
N 0.231 0.415 0.974
N 0.295 0.538 0.155
N 0.295 0.962 0.655
N 0.299 0.538 0.269
N 0.299 0.962 0.769
N 0.701 0.038 0.231
N 0.701 0.462 0.731
N 0.705 0.038 0.345
N 0.705 0.462 0.845
N 0.769 0.585 0.026
N 0.769 0.915 0.526
Cl 0.071 0.629 0.714
Cl 0.071 0.871 0.214
Cl 0.329 0.655 0.521
Cl 0.329 0.845 0.021
Cl 0.671 0.155 0.979
Cl 0.671 0.345 0.479
Cl 0.929 0.129 0.786
Cl 0.929 0.371 0.286
CELL_PARAMETERS angstrom
7.426 0.000 0.000
0.000 8.250 0.000
-6.076 0.000 10.751
```



# 3
Entry from the Alexandria database: a geometry-optimized Bi2Te2H structure (PBEsol). Values from VASP.

Values from the calculation:
Calculated volume in Å³/f.u.: 160
Crystal system: tetragonal
Electronic total energy in eV/atom: -3.198

```
&SYSTEM
  ibrav = 0, nat = 5, ntyp = 3
/
ATOMIC_SPECIES
Bi 208.98 Bi.upf
Te 127.60 Te.upf
H 1.01 H.upf
ATOMIC_POSITIONS crystal
Bi 0.250 0.750 0.500
Bi 0.750 0.250 0.500
Te 0.092 0.092 0.000
Te 0.908 0.908 0.000
H 0.500 0.500 0.000
CELL_PARAMETERS angstrom
-2.290 2.290 7.623
2.290 -2.290 7.623
2.290 2.290 -7.623
```



# 4
Entry from the Alexandria database: a geometry-optimized Ca2FeRe structure (PBEsol). Values from VASP.

Values from the calculation:
Calculated formation energy in eV per atom: 1.008
Relative energy among the computed polymorphs in meV/atom: 621.8
Calculated volume in Å³/f.u.: 80
Crystal system: tetragonal

```
&SYSTEM
  ibrav = 0, nat = 4, ntyp = 3
/
ATOMIC_SPECIES
Ca 40.08 Ca.upf
Fe 55.84 Fe.upf
Re 186.21 Re.upf
ATOMIC_POSITIONS crystal
Ca 0.000 0.500 0.000
Ca 0.500 0.000 0.000
Fe 0.000 0.000 0.500
Re 0.500 0.500 0.500
CELL_PARAMETERS angstrom
5.392 0.000 0.000
0.000 5.392 0.000
0.000 0.000 2.737
```



# 5
Entry from the Alexandria database: a geometry-optimized CoH2Pt2 structure (PBEsol). Values from VASP.

Values from the calculation:
Calculated volume in Å³/f.u.: 49
Crystal system: tetragonal
Electronic total energy in eV/atom: -5.601

```
&SYSTEM
  ibrav = 0, nat = 10, ntyp = 3
/
ATOMIC_SPECIES
Co 58.93 Co.upf
H 1.01 H.upf
Pt 195.08 Pt.upf
ATOMIC_POSITIONS crystal
Co 0.000 0.000 0.000
Co 0.500 0.500 0.000
H 0.191 0.309 0.000
H 0.309 0.809 0.000
H 0.691 0.191 0.000
H 0.809 0.691 0.000
Pt 0.187 0.313 0.500
Pt 0.313 0.813 0.500
Pt 0.687 0.187 0.500
Pt 0.813 0.687 0.500
CELL_PARAMETERS angstrom
5.147 0.000 0.000
0.000 5.147 0.000
0.000 0.000 3.669
```



# 6
Entry from the Alexandria database: a geometry-optimized ReSiAu2 structure (PBEsol). Values from VASP.

Values from the calculation:
Calculated volume in Å³/f.u.: 63
Formation energy without anion corrections in eV/atom: 0.2755
Crystal system: orthorhombic

```
&SYSTEM
  ibrav = 0, nat = 4, ntyp = 3
/
ATOMIC_SPECIES
Re 186.21 Re.upf
Si 28.09 Si.upf
Au 196.97 Au.upf
ATOMIC_POSITIONS crystal
Re 0.000 0.000 0.000
Si 0.500 0.500 0.000
Au 0.304 0.804 0.500
Au 0.696 0.196 0.500
CELL_PARAMETERS angstrom
-1.465 2.035 5.312
1.465 -2.035 5.312
1.465 2.035 -5.312
```



# 7
Entry from the Alexandria database: a geometry-optimized CsCrGeMo2 structure (PBEsol). Values from VASP.

Values from the calculation:
Calculated formation energy in eV per atom: 2.041
Calculated volume in Å³/f.u.: 139
Crystal system: tetragonal

```
&SYSTEM
  ibrav = 0, nat = 5, ntyp = 4
/
ATOMIC_SPECIES
Cs 132.91 Cs.upf
Cr 52.00 Cr.upf
Ge 72.64 Ge.upf
Mo 95.94 Mo.upf
ATOMIC_POSITIONS crystal
Cs 0.000 0.000 0.000
Cr 0.500 0.500 0.000
Ge 0.000 0.000 0.500
Mo 0.000 0.500 0.500
Mo 0.500 0.000 0.500
CELL_PARAMETERS angstrom
4.821 0.000 0.000
0.000 4.821 0.000
0.000 0.000 6.000
```



# 8
Entry from the Alexandria database: a geometry-optimized SrLa2Cu2O6 structure (PBEsol). Values from VASP.

Values from the calculation:
Calculated volume in Å³/f.u.: 144
Formation energy without anion corrections in eV/atom: -2.3176
Crystal system: tetragonal

```
&SYSTEM
  ibrav = 0, nat = 11, ntyp = 4
/
ATOMIC_SPECIES
Sr 87.62 Sr.upf
La 138.91 La.upf
Cu 63.55 Cu.upf
O 16.00 O.upf
ATOMIC_POSITIONS crystal
Sr 0.000 0.000 0.000
La 0.177 0.177 0.000
La 0.823 0.823 0.000
Cu 0.411 0.411 0.000
Cu 0.589 0.589 0.000
O 0.089 0.589 0.500
O 0.294 0.294 0.000
O 0.411 0.911 0.500
O 0.589 0.089 0.500
O 0.706 0.706 0.000
O 0.911 0.411 0.500
CELL_PARAMETERS angstrom
-1.910 1.910 9.842
1.910 -1.910 9.842
1.910 1.910 -9.842
```



# 9
Entry from the Alexandria database: a geometry-optimized SnAs2AuN structure (PBEsol). Values from VASP.

Values from the calculation:
Calculated volume in Å³/f.u.: 86
Formation energy without anion corrections in eV/atom: 0.5550
Crystal system: tetragonal

```
&SYSTEM
  ibrav = 0, nat = 5, ntyp = 4
/
ATOMIC_SPECIES
Sn 118.71 Sn.upf
As 74.92 As.upf
Au 196.97 Au.upf
N 14.01 N.upf
ATOMIC_POSITIONS crystal
Sn 0.000 0.000 0.000
As 0.000 0.500 0.500
As 0.500 0.000 0.500
Au 0.500 0.500 0.000
N 0.000 0.000 0.500
CELL_PARAMETERS angstrom
4.371 0.000 0.000
0.000 4.371 0.000
0.000 0.000 4.506
```



# 10
Entry from the Alexandria database: a geometry-optimized MgMn2Cu structure (PBEsol). Values from VASP.

Values from the calculation:
Calculated formation energy in eV per atom: 0.392
Calculated volume in Å³/f.u.: 51
Crystal system: monoclinic

```
&SYSTEM
  ibrav = 0, nat = 4, ntyp = 3
/
ATOMIC_SPECIES
Mg 24.30 Mg.upf
Mn 54.94 Mn.upf
Cu 63.55 Cu.upf
ATOMIC_POSITIONS crystal
Mg 0.000 0.000 0.000
Mn 0.236 0.236 0.734
Mn 0.764 0.764 0.266
Cu 0.500 0.500 0.500
CELL_PARAMETERS angstrom
4.817 -1.401 0.000
4.817 1.401 0.000
-1.672 0.000 3.813
```



# 11
Entry from the Alexandria database: a geometry-optimized ScH2Pd2 structure (PBEsol). Values from VASP.

Values from the calculation:
Calculated volume in Å³/f.u.: 54
Crystal system: tetragonal
Electronic total energy in eV/atom: -5.585

```
&SYSTEM
  ibrav = 0, nat = 5, ntyp = 3
/
ATOMIC_SPECIES
Sc 44.96 Sc.upf
H 1.01 H.upf
Pd 106.42 Pd.upf
ATOMIC_POSITIONS crystal
Sc 0.000 0.000 0.000
H 0.250 0.750 0.500
H 0.750 0.250 0.500
Pd 0.339 0.339 0.000
Pd 0.661 0.661 0.000
CELL_PARAMETERS angstrom
-1.761 1.761 4.355
1.761 -1.761 4.355
1.761 1.761 -4.355
```



# 12
Entry from the Alexandria database: a geometry-optimized Zr5CuSb3 structure (PBEsol). Values from VASP.

Values from the calculation:
Calculated volume in Å³/f.u.: 182
Formation energy without anion corrections in eV/atom: -0.7599
Crystal system: hexagonal

```
&SYSTEM
  ibrav = 0, nat = 18, ntyp = 3
/
ATOMIC_SPECIES
Zr 91.22 Zr.upf
Cu 63.55 Cu.upf
Sb 121.76 Sb.upf
ATOMIC_POSITIONS crystal
Zr 0.000 0.264 0.250
Zr 0.000 0.736 0.750
Zr 0.264 0.000 0.250
Zr 0.264 0.264 0.750
Zr 0.333 0.667 0.000
Zr 0.333 0.667 0.500
Zr 0.667 0.333 0.000
Zr 0.667 0.333 0.500
Zr 0.736 0.000 0.750
Zr 0.736 0.736 0.250
Cu 0.000 0.000 0.000
Cu 0.000 0.000 0.500
Sb 0.000 0.385 0.750
Sb 0.000 0.615 0.250
Sb 0.385 0.000 0.750
Sb 0.385 0.385 0.250
Sb 0.615 0.000 0.250
Sb 0.615 0.615 0.750
CELL_PARAMETERS angstrom
8.529 0.000 0.000
-4.265 7.387 0.000
0.000 0.000 5.765
```



# 13
Entry from the Alexandria database: a geometry-optimized La2TlCd structure (PBEsol). Values from VASP.

Values from the calculation:
Calculated formation energy in eV per atom: -0.395
Relative energy among the computed polymorphs in meV/atom: 0.7
Calculated volume in Å³/f.u.: 114
Crystal system: orthorhombic

```
&SYSTEM
  ibrav = 0, nat = 4, ntyp = 3
/
ATOMIC_SPECIES
La 138.91 La.upf
Tl 204.38 Tl.upf
Cd 112.41 Cd.upf
ATOMIC_POSITIONS crystal
La 0.000 0.000 0.000
La 0.000 0.500 0.394
Tl 0.500 0.500 0.878
Cd 0.500 0.000 0.514
CELL_PARAMETERS angstrom
3.834 0.000 0.000
0.000 5.294 0.000
0.000 0.000 5.611
```



# 14
Entry from the Alexandria database: a geometry-optimized Li2MnPO5 structure (PBEsol). Values from VASP.

Values from the calculation:
Calculated volume in Å³/f.u.: 92
Formation energy without anion corrections in eV/atom: -2.0889
Crystal system: monoclinic

```
&SYSTEM
  ibrav = 0, nat = 18, ntyp = 4
/
ATOMIC_SPECIES
Li 6.94 Li.upf
Mn 54.94 Mn.upf
P 30.97 P.upf
O 16.00 O.upf
ATOMIC_POSITIONS crystal
Li 0.052 0.596 0.743
Li 0.404 0.948 0.757
Li 0.596 0.052 0.243
Li 0.948 0.404 0.257
Mn 0.500 0.500 0.000
Mn 0.500 0.500 0.500
P 0.127 0.873 0.250
P 0.873 0.127 0.750
O 0.169 0.194 0.851
O 0.194 0.169 0.351
O 0.227 0.730 0.420
O 0.270 0.773 0.080
O 0.413 0.587 0.750
O 0.587 0.413 0.250
O 0.730 0.227 0.920
O 0.773 0.270 0.580
O 0.806 0.831 0.649
O 0.831 0.806 0.149
CELL_PARAMETERS angstrom
3.881 -3.780 0.000
3.881 3.780 0.000
-3.118 0.000 6.249
```



# 15
Entry from the Alexandria database: a geometry-optimized NiPtRh2 structure (PBEsol). Values from VASP.

Values from the calculation:
Calculated formation energy in eV per atom: 0.025
Calculated volume in Å³/f.u.: 53
Crystal system: orthorhombic

```
&SYSTEM
  ibrav = 0, nat = 4, ntyp = 3
/
ATOMIC_SPECIES
Ni 58.69 Ni.upf
Pt 195.08 Pt.upf
Rh 102.91 Rh.upf
ATOMIC_POSITIONS crystal
Ni 0.000 0.000 0.000
Pt 0.000 0.000 0.500
Rh 0.500 0.500 0.240
Rh 0.500 0.500 0.760
CELL_PARAMETERS angstrom
2.683 0.000 0.000
0.000 3.708 0.000
0.000 0.000 5.306
```



# 16
Entry from the Alexandria database: a geometry-optimized Os2RhPb structure (PBEsol). Values from VASP.

Values from the calculation:
Calculated formation energy in eV per atom: 0.631
Calculated volume in Å³/f.u.: 64
Crystal system: monoclinic

```
&SYSTEM
  ibrav = 0, nat = 4, ntyp = 3
/
ATOMIC_SPECIES
Os 190.23 Os.upf
Rh 102.91 Rh.upf
Pb 207.20 Pb.upf
ATOMIC_POSITIONS crystal
Os 0.238 0.238 0.215
Os 0.762 0.762 0.785
Rh 0.500 0.500 0.000
Pb 0.000 0.000 0.500
CELL_PARAMETERS angstrom
4.566 -1.439 0.000
4.566 1.439 0.000
-0.773 0.000 4.861
```



# 17
Entry from the Alexandria database: a geometry-optimized HgPb2Cl structure (PBEsol). Values from VASP.

Values from the calculation:
Relative energy among the computed polymorphs in meV/atom: 60.9
Calculated volume in Å³/f.u.: 106
Formation energy without anion corrections in eV/atom: -0.1989
Crystal system: tetragonal

```
&SYSTEM
  ibrav = 0, nat = 4, ntyp = 3
/
ATOMIC_SPECIES
Hg 200.59 Hg.upf
Pb 207.20 Pb.upf
Cl 35.45 Cl.upf
ATOMIC_POSITIONS crystal
Hg 0.000 0.000 0.000
Pb 0.000 0.000 0.534
Pb 0.500 0.500 0.258
Cl 0.500 0.500 0.750
CELL_PARAMETERS angstrom
3.461 0.000 0.000
0.000 3.461 0.000
0.000 0.000 8.848
```



# 18
Entry from the Alexandria database: a geometry-optimized LiZr2Ir structure (PBEsol). Values from VASP.

Values from the calculation:
Calculated formation energy in eV per atom: -0.283
Relative energy among the computed polymorphs in meV/atom: 180.4
Calculated volume in Å³/f.u.: 70
Crystal system: tetragonal

```
&SYSTEM
  ibrav = 0, nat = 4, ntyp = 3
/
ATOMIC_SPECIES
Li 6.94 Li.upf
Zr 91.22 Zr.upf
Ir 192.22 Ir.upf
ATOMIC_POSITIONS crystal
Li 0.000 0.000 0.000
Zr 0.500 0.500 0.253
Zr 0.500 0.500 0.747
Ir 0.000 0.000 0.500
CELL_PARAMETERS angstrom
3.307 0.000 0.000
0.000 3.307 0.000
0.000 0.000 6.402
```



# 19
Entry from the Alexandria database: a geometry-optimized Sr2TePt structure (PBEsol). Values from VASP.

Values from the calculation:
Calculated volume in Å³/f.u.: 110
Formation energy without anion corrections in eV/atom: -0.8550
Crystal system: tetragonal

```
&SYSTEM
  ibrav = 0, nat = 4, ntyp = 3
/
ATOMIC_SPECIES
Sr 87.62 Sr.upf
Te 127.60 Te.upf
Pt 195.08 Pt.upf
ATOMIC_POSITIONS crystal
Sr 0.000 0.000 0.000
Sr 0.750 0.250 0.500
Te 0.500 0.500 0.000
Pt 0.250 0.750 0.500
CELL_PARAMETERS angstrom
-2.226 2.226 5.553
2.226 -2.226 5.553
2.226 2.226 -5.553
```



# 20
Entry from the Alexandria database: a geometry-optimized Ca2AlSb structure (PBEsol). Values from VASP.

Values from the calculation:
Calculated volume in Å³/f.u.: 107
Formation energy without anion corrections in eV/atom: -0.4245
Crystal system: tetragonal

```
&SYSTEM
  ibrav = 0, nat = 4, ntyp = 3
/
ATOMIC_SPECIES
Ca 40.08 Ca.upf
Al 26.98 Al.upf
Sb 121.76 Sb.upf
ATOMIC_POSITIONS crystal
Ca 0.000 0.000 0.000
Ca 0.750 0.250 0.500
Al 0.250 0.750 0.500
Sb 0.500 0.500 0.000
CELL_PARAMETERS angstrom
-2.222 2.222 5.417
2.222 -2.222 5.417
2.222 2.222 -5.417
```



| no. | spin magnetization (μB/atom) |
| --- | --- |
| 1 | 0.0000 |
| 2 | 0.0000 |
| 3 | 0.1747 |
| 4 | 0.6765 |
| 5 | 0.0005 |
| 6 | 0.0000 |
| 7 | 0.0312 |
| 8 | 0.0000 |
| 9 | 0.0001 |
| 10 | 1.1265 |
| 11 | 0.0000 |
| 12 | 0.0000 |
| 13 | 0.0001 |
| 14 | 0.4444 |
| 15 | 0.1466 |
| 16 | 0.0001 |
| 17 | 0.0000 |
| 18 | 0.0001 |
| 19 | 0.0000 |
| 20 | 0.0004 |